No. 1
Computed, not measured: an optimized crystal structure of SrPmAs2Pd4 at the GGA-PBE level of DFT.

Cell and atoms, written as POSCAR:
```
SrPmAs2Pd4
1.0
4.1743 0.0000 0.0000
0.0000 4.1743 0.0000
0.0000 0.0000 10.1467
Sr Pm As Pd
1 1 2 4
Direct
0.0000 0.0000 0.0000
0.0000 0.0000 0.5000
0.5000 0.5000 0.1573
0.5000 0.5000 0.8427
0.0000 0.5000 0.2908
0.0000 0.5000 0.7092
0.5000 0.0000 0.2908
0.5000 0.0000 0.7092
```

- Energy of formation: -5.42 eV/f.u.
- Calculated density: 7.6 g/cm³

=====

No. 2
Computed, not measured: an optimized crystal structure of TeBrCl2 at the GGA-PBE level of DFT.

Cell and atoms, written as POSCAR:
```
TeBrCl2
1.0
3.9102 -3.2945 0.0000
3.9102 3.2945 0.0000
-1.5180 0.0000 5.3246
Te Br Cl
1 1 2
Direct
0.0000 0.0000 0.0000
0.0000 0.0000 0.5000
0.3295 0.3295 0.1380
0.6705 0.6705 0.8620
```

- Energy above the lowest structure with this stoichiometry: 0.133 eV per atom
- Uncorrected formation energy: -1.08 eV/f.u.
- Calculated density: 3.4 g/cm³

=====

No. 3
Computed, not measured: an optimized crystal structure of Gd3InIr at the GGA-PBE level of DFT.

Cell and atoms, written as POSCAR:
```
Gd3InIr
1.0
5.3990 0.0000 0.0000
0.0000 5.3990 0.0000
0.0000 0.0000 5.3990
Gd In Ir
3 1 1
Direct
0.0000 0.0000 0.5000
0.0000 0.5000 0.0000
0.5000 0.0000 0.0000
0.5000 0.5000 0.5000
0.0000 0.0000 0.0000
```

- Energy of formation: -1.94 eV/f.u.
- Calculated density: 8.2 g/cm³

=====

No. 4
Computed, not measured: an optimized crystal structure of Pr3YAu2 at the GGA-PBE level of DFT.

Cell and atoms, written as POSCAR:
```
Pr3YAu2
1.0
5.1317 0.0000 0.0000
0.0000 9.3691 0.0000
0.0000 0.0000 7.2683
Pr Y Au
6 2 4
Direct
0.0000 0.0770 0.0000
0.0000 0.3360 0.3567
0.0000 0.6640 0.8567
0.0000 0.9230 0.5000
0.5000 0.1647 0.6592
0.5000 0.8353 0.1592
0.5000 0.4265 0.0144
0.5000 0.5735 0.5144
0.0000 0.3518 0.7734
0.0000 0.6482 0.2734
0.5000 0.1594 0.2408
0.5000 0.8406 0.7408
```

- Energy of formation: -3.29 eV/f.u.
- Calculated density: 8.6 g/cm³

=====

No. 5
Computed, not measured: an optimized crystal structure of Y3Ho2Cd at the GGA-PBE level of DFT.

Cell and atoms, written as POSCAR:
```
Y3Ho2Cd
1.0
3.5694 0.0000 0.0000
0.0000 3.5694 0.0000
0.0000 0.0000 14.1457
Y Ho Cd
3 2 1
Direct
0.0000 0.0000 0.0000
0.0000 0.0000 0.3530
0.0000 0.0000 0.6470
0.5000 0.5000 0.1762
0.5000 0.5000 0.8238
0.5000 0.5000 0.5000
```

- Energy of formation: -0.57 eV/f.u.
- Calculated density: 6.5 g/cm³

=====

No. 6
Computed, not measured: an optimized crystal structure of Fe3Co5 at the GGA-PBE level of DFT.

Cell and atoms, written as POSCAR:
```
Fe3Co5
1.0
2.4557 0.0000 0.0000
0.8275 6.0515 0.0000
0.5556 0.7589 6.0827
Fe Co
3 5
Direct
0.0000 0.0000 0.0000
0.2457 0.3729 0.8732
0.7543 0.6271 0.1268
0.0000 0.5000 0.5000
0.2757 0.8800 0.3741
0.4677 0.7454 0.7529
0.5323 0.2546 0.2471
0.7243 0.1200 0.6259
```

- Energy of formation: 0.17 eV/f.u.
- Calculated density: 8.5 g/cm³

=====

No. 7
Computed, not measured: an optimized crystal structure of Pm4Pr2MgSc at the GGA-PBE level of DFT.

Cell and atoms, written as POSCAR:
```
Pm4Pr2MgSc
1.0
5.0185 0.0000 0.0000
0.0000 5.0185 0.0000
0.0000 0.0000 10.1473
Pm Pr Mg Sc
4 2 1 1
Direct
0.0000 0.5000 0.2476
0.0000 0.5000 0.7524
0.5000 0.0000 0.2476
0.5000 0.0000 0.7524
0.0000 0.0000 0.0000
0.5000 0.5000 0.5000
0.0000 0.0000 0.5000
0.5000 0.5000 0.0000
```

- Energy of formation: 0.18 eV/f.u.
- Calculated density: 6.0 g/cm³

=====

No. 8
Computed, not measured: an optimized crystal structure of LaZnCl at the GGA-PBE level of DFT.

Cell and atoms, written as POSCAR:
```
LaZnCl
1.0
3.7495 -2.1649 0.0000
3.7495 2.1649 0.0000
-0.1076 0.0000 10.8933
La Zn Cl
2 2 2
Direct
0.0027 0.0027 0.1937
0.9973 0.9973 0.8063
0.3335 0.3335 0.0089
0.6665 0.6665 0.9911
0.3288 0.3288 0.6577
0.6712 0.6712 0.3423
```

- Energy above the lowest structure with this stoichiometry: 0.001 eV per atom
- Uncorrected formation energy: -3.66 eV/f.u.
- Calculated density: 4.5 g/cm³

=====

no.,density of states at the Fermi level (states/eV/atom),spin magnetization (μB per formula unit),DFT total energy (eV per atom)
1,0.675,0.0,-5.241
2,0.530,0.0,-2.397
3,1.379,21.6,-11.157
4,1.037,0.0,-5.108
5,1.476,0.0,-5.005
6,1.086,16.2,-7.593
7,1.538,0.0,-4.538
8,0.819,0.6,-3.901